# 1
ReSiMo2 | PBE-GGA | relaxed Values from VASP.

```
&SYSTEM
  ibrav = 0, nat = 8, ntyp = 3
/
ATOMIC_SPECIES
Re 186.21 Re.upf
Si 28.09 Si.upf
Mo 95.94 Mo.upf
CELL_PARAMETERS angstrom
-3.4206 3.4206 2.7446
3.4206 -3.4206 2.7446
3.4206 3.4206 -2.7446
ATOMIC_POSITIONS angstrom
Re 0.0000 0.0000 0.0000
Re 0.0000 3.4206 1.3723
Si 3.4206 0.0000 1.3723
Si 0.0000 0.0000 2.7446
Mo 1.7103 -1.6140 2.0584
Mo 1.8067 1.7103 0.6861
Mo 1.7103 5.0346 -0.6861
Mo 1.6140 1.7103 3.4307
```

Results
E_form (uncorrected), eV per atom: 0.6516
Spin magnetization, Bohr magnetons per cell: 0.00
Electronic total energy, eV per atom: -9.232
Volume, Å³ per cell: 128.5

***

# 2
ReSiMo2 | PBE-GGA | relaxed Values from VASP.

```
&SYSTEM
  ibrav = 0, nat = 4, ntyp = 3
/
ATOMIC_SPECIES
Re 186.21 Re.upf
Si 28.09 Si.upf
Mo 95.94 Mo.upf
CELL_PARAMETERS angstrom
1.6099 -2.2503 0.0000
1.6099 2.2503 0.0000
0.0000 0.0000 8.2495
ATOMIC_POSITIONS angstrom
Re 0.0000 0.0000 0.0000
Si 1.6099 0.0000 1.9272
Mo 0.0000 0.0000 3.8937
Mo 1.6099 0.0000 6.0878
```

Results
E_form (uncorrected), eV per atom: 0.0692
Spin magnetization, Bohr magnetons per cell: 0.00
Electronic total energy, eV per atom: -9.814
Volume, Å³ per cell: 59.8

***

# 3
Re2SiMo | PBE-GGA | relaxed Values from VASP.

```
&SYSTEM
  ibrav = 0, nat = 4, ntyp = 3
/
ATOMIC_SPECIES
Re 186.21 Re.upf
Si 28.09 Si.upf
Mo 95.94 Mo.upf
CELL_PARAMETERS angstrom
1.5147 -2.3133 0.0000
1.5147 2.3133 0.0000
0.0000 0.0000 8.4093
ATOMIC_POSITIONS angstrom
Re 0.0000 0.0000 1.9663
Re 0.0000 0.0000 6.4430
Si 1.5147 0.0000 0.0000
Mo 1.5147 0.0000 4.2046
```

Results
E_form (uncorrected), eV per atom: 0.1541
Spin magnetization, Bohr magnetons per cell: 0.00
Electronic total energy, eV per atom: -10.134
Volume, Å³ per cell: 58.9

***

# 4
ReSi2Mo | PBE-GGA | relaxed Values from VASP.

```
&SYSTEM
  ibrav = 0, nat = 4, ntyp = 3
/
ATOMIC_SPECIES
Re 186.21 Re.upf
Si 28.09 Si.upf
Mo 95.94 Mo.upf
CELL_PARAMETERS angstrom
0.0000 3.0144 3.0144
3.0144 0.0000 3.0144
3.0144 3.0144 0.0000
ATOMIC_POSITIONS angstrom
Re 0.0000 0.0000 0.0000
Si 1.5072 1.5072 1.5072
Si 4.5217 4.5217 4.5217
Mo 3.0144 3.0144 3.0144
```

Results
E_form (uncorrected), eV per atom: -0.1384
Spin magnetization, Bohr magnetons per cell: 0.00
Electronic total energy, eV per atom: -8.670
Volume, Å³ per cell: 54.8